Ac2TbSmEr PBE relaxed; volume = 386.11 Å³/cell; energy relative to the elements = 0.27 eV per atom; size of the total moment = 0.00 μB/atom; space-group type = Pmma
1.0
-2.780 -5.437 2.773
6.441 -0.111 6.241
-3.589 3.757 3.769
Sm Tb Ac Er
2 2 4 2
Direct
0.417 0.000 0.750
0.583 0.000 0.250
0.182 0.500 0.750
0.818 0.500 0.250
0.289 0.704 0.250
0.711 0.704 0.750
0.289 0.296 0.250
0.711 0.296 0.750
0.000 0.000 0.000
0.000 0.000 0.500

AcTb5SmEr2 PBE relaxed; volume = 615.02 Å³/cell; energy relative to the elements = 0.28 eV per atom; size of the total moment = 0.00 μB/atom; space-group type = I4/mcm
1.0
-0.893 -8.276 -3.538
1.146 -3.631 8.204
-7.547 6.254 -1.163
Tb Er Sm Ac
10 4 2 2
Direct
0.176 0.075 0.751
0.824 0.925 0.249
0.000 0.000 0.000
0.324 0.824 0.249
0.575 0.676 0.751
0.925 0.425 0.249
0.425 0.324 0.249
0.500 0.500 0.000
0.075 0.575 0.751
0.676 0.176 0.751
0.613 0.113 0.000
0.387 0.887 0.000
0.887 0.613 0.000
0.113 0.387 0.000
0.250 0.750 0.500
0.750 0.250 0.500
0.750 0.750 0.500
0.250 0.250 0.500